# 1
This record from Alexandria via LeMat-Bulk describes crystalline Y5ZrCu4 at its relaxed geometry. The functional is PBE.

Unit cell a=3.452 b=3.452 c=18.760 alpha=90.00 beta=90.00 gamma=90.00
Fractional coordinates of all 10 atoms:
Y1 0.500 0.500 0.124
Y2 0.500 0.500 0.312
Y3 0.500 0.500 0.500
Y4 0.500 0.500 0.688
Y5 0.500 0.500 0.876
Zr1 0.000 0.000 0.000
Cu1 0.000 0.000 0.219
Cu2 0.000 0.000 0.407
Cu3 0.000 0.000 0.593
Cu4 0.000 0.000 0.781

Calculated values
The total energy is -5.90 eV/atom. For the calculated density, the calculation gives 5.9 Mg/m³.



# 2
This record from Alexandria via LeMat-Bulk describes crystalline Ca2LaH8Rh at its relaxed geometry. The functional is PBE.

Unit cell a=4.820 b=4.820 c=6.956 alpha=90.00 beta=90.00 gamma=120.00
Fractional coordinates of all 12 atoms:
Ca1 0.667 0.333 0.144
Ca2 0.333 0.667 0.856
La1 0.000 0.000 0.500
H1 0.840 0.679 0.840
H2 0.321 0.160 0.840
H3 0.840 0.160 0.840
H4 0.160 0.321 0.160
H5 0.679 0.840 0.160
H6 0.160 0.840 0.160
H7 0.667 0.333 0.463
H8 0.333 0.667 0.537
Rh1 0.000 0.000 0.000

Calculated values
The total energy is -4.05 eV/atom. For the calculated density, the calculation gives 3.9 Mg/m³.



# 3
This record from Alexandria via LeMat-Bulk describes crystalline Np2Al9Ga at its relaxed geometry. The functional is PBE.

Unit cell a=4.537 b=4.537 c=10.826 alpha=90.00 beta=90.00 gamma=90.00
Last column: magnetic moment on the atom in μB.
Fractional coordinates of all 12 atoms:
Np1 0.000 0.000 0.316  3.76
Np2 0.000 0.000 0.684  3.76
Al1 0.500 0.500 0.000  0.00
Al2 0.500 0.500 0.315  -0.01
Al3 0.500 0.500 0.685  -0.01
Al4 0.500 0.000 0.140  0.01
Al5 0.500 0.000 0.500  0.01
Al6 0.500 0.000 0.860  0.01
Al7 0.000 0.500 0.140  0.01
Al8 0.000 0.500 0.500  0.01
Al9 0.000 0.500 0.860  0.01
Ga1 0.000 0.000 0.000  -0.04

Calculated values
The total energy is -5.20 eV/atom. For the calculated density, the calculation gives 5.9 Mg/m³.



# 4
This record from Alexandria via LeMat-Bulk describes crystalline Y2ZnSi2Ru5 at its relaxed geometry. The functional is PBE.

Unit cell a=3.276 b=9.926 c=9.926 alpha=90.00 beta=90.00 gamma=90.00
Fractional coordinates of all 20 atoms:
Y1 0.000 0.673 0.173
Y2 0.000 0.327 0.827
Y3 0.000 0.173 0.327
Y4 0.000 0.827 0.673
Zn1 0.000 0.000 0.000
Zn2 0.000 0.500 0.500
Si1 0.000 0.128 0.628
Si2 0.000 0.872 0.372
Si3 0.000 0.628 0.872
Si4 0.000 0.372 0.128
Ru1 0.500 0.207 0.068
Ru2 0.500 0.793 0.932
Ru3 0.500 0.068 0.793
Ru4 0.500 0.707 0.432
Ru5 0.500 0.932 0.207
Ru6 0.500 0.293 0.568
Ru7 0.500 0.568 0.707
Ru8 0.500 0.432 0.293
Ru9 0.500 0.500 0.000
Ru10 0.500 0.000 0.500

Calculated values
The total energy is -7.66 eV/atom. For the calculated density, the calculation gives 8.3 Mg/m³. The formation energy (no corrections) comes out at -514 meV per atom.



# 5
This record from Alexandria via LeMat-Bulk describes crystalline U2MoS4 at its relaxed geometry. The functional is PBE.

Unit cell a=3.959 b=6.908 c=6.849 alpha=122.14 beta=106.80 gamma=90.00
Last column: magnetic moment on the atom in μB.
Fractional coordinates of all 7 atoms:
U1 0.731 0.731 0.462  2.15
U2 0.269 0.269 0.538  2.15
Mo1 0.000 0.000 0.000  -0.59
S1 0.889 0.202 0.778  -0.06
S2 0.111 0.798 0.222  -0.06
S3 0.619 0.256 0.237  -0.05
S4 0.381 0.744 0.763  -0.05

Calculated values
The total energy is -8.14 eV/atom. For the calculated density, the calculation gives 7.8 Mg/m³. The formation energy (no corrections) comes out at -1007 meV per atom.



# 6
This record from Alexandria via LeMat-Bulk describes crystalline TaTeP at its relaxed geometry. The functional is PBE.

Unit cell a=4.588 b=4.588 c=4.588 alpha=60.00 beta=60.00 gamma=60.00
Last column: magnetic moment on the atom in μB.
Fractional coordinates of all 3 atoms:
Ta1 0.250 0.250 0.250  0.54
Te1 0.000 0.000 0.000  -0.01
P1 0.500 0.500 0.500  -0.02

Calculated values
The total energy is -6.53 eV/atom. For the calculated density, the calculation gives 8.3 Mg/m³. The formation energy (no corrections) comes out at 272 meV per atom. The calculation puts the relative energy among the computed polymorphs at 588 meV/atom.